1.
The following is a DFT calculation (GGA-PBE) of a relaxed structure of Ga12Ag2Te19.

Cell lengths 10.3392, 10.8346, 10.3254 Å; angles 89.02, 89.85, 91.28 degrees
Fractional coordinates of all 33 atoms:
Te 0.8386 0.7392 0.0639
Te 0.7755 0.0541 0.8541
Te 0.2658 0.1866 0.9072
Te 0.5800 0.0807 0.1844
Te 0.1571 0.9331 0.2577
Te 0.0980 0.8074 0.7122
Te 0.4268 0.8261 0.9399
Te 0.9751 0.5751 0.4039
Te 0.4263 0.0136 0.5915
Te 0.5885 0.4405 0.0219
Te 0.1674 0.5557 0.0838
Te 0.8053 0.9275 0.4206
Te 0.6815 0.2983 0.5587
Te 0.6661 0.6742 0.6838
Te 0.0669 0.1825 0.5793
Te 0.9334 0.2391 0.1751
Te 0.3250 0.3260 0.3234
Te 0.4495 0.6981 0.3376
Te 0.9099 0.4332 0.8247
Ga 0.1241 0.1658 0.3253
Ga 0.5735 0.8387 0.5088
Ga 0.9342 0.3913 0.5660
Ga 0.4135 0.5983 0.0321
Ga 0.8176 0.0951 0.6071
Ga 0.0125 0.6552 0.8965
Ga 0.8960 0.7411 0.5705
Ga 0.5076 0.1720 0.4130
Ga 0.0871 0.3300 0.9879
Ga 0.4012 0.8986 0.1925
Ga 0.6858 0.8281 0.8832
Ga 0.4229 0.2614 0.0884
Ag 0.9459 0.9890 0.0729
Ag 0.2033 0.7245 0.4566

Properties
SG: P1 (1)
Uncorrected formation energy, meV per atom: -268

2.
The following is a DFT calculation (GGA-PBE) of a relaxed structure of SbTeH.

Cell lengths 3.1279, 5.8336, 10.4935 Å; angles 123.45, 90.22, 90.00 degrees
Fractional coordinates of all 6 atoms:
Te 0.4169 0.7484 0.0745
Te 0.9220 0.5922 0.4384
H 0.9261 0.3530 0.7174
H 0.4128 0.9877 0.7955
Sb 0.9229 0.1618 0.5178
Sb 0.4160 0.1788 0.9951

Properties
SG: P-1 (2)
Distance to the lowest polymorph of the same formula, meV per atom: 40.3

3.
The following is a DFT calculation (GGA-PBE) of a relaxed structure of HfCdTe2N.

Cell lengths 5.5629, 5.5629, 4.0036 Å; angles 90.00, 90.00, 90.00 degrees
Fractional coordinates of all 5 atoms:
N 0.0000 0.0000 0.5000
Te 0.0000 0.5000 0.0000
Te 0.5000 0.0000 0.0000
Cd 0.0000 0.0000 0.0000
Hf 0.5000 0.5000 0.5000

Properties
SG: P4/mmm (123)
Uncorrected formation energy, meV per atom: 1066
Distance to the lowest polymorph of the same formula, meV per atom: 1115.9

4.
The following is a DFT calculation (GGA-PBE) of a relaxed structure of YGaPb2.

Cell lengths 3.5589, 3.5589, 11.0693 Å; angles 80.75, 80.75, 60.00 degrees
Fractional coordinates of all 4 atoms:
Ga 0.5000 0.5000 0.5000
Pb 0.9038 0.9038 0.2887
Pb 0.0962 0.0962 0.7113
Y 0.0000 0.0000 0.0000

Properties
Formation energy from the elements, eV per atom: 0.128
SG: R-3m (166)

Listing magnetization for the structures above in their given order: 0.0, 0.0, 0.0, 0.0 μB per cell.